1.
A plane-wave DFT calculation with meta-GGA SCAN was carried out for a PBEsol-optimized structure of RbCa2H.

Calculated total energy = -87.369 eV for the cell shown
Calculated volume = 38.83 A^3/atom

Unit cell a=7.602 b=7.602 c=7.602 alpha=60.00 beta=60.00 gamma=60.00
Fractional positions:
Rb1 0.125 0.125 0.125
Rb2 0.875 0.875 0.875
Ca1 0.000 0.500 0.500
Ca2 0.500 0.000 0.500
Ca3 0.500 0.500 0.000
Ca4 0.500 0.500 0.500
H1 0.375 0.375 0.375
H2 0.625 0.625 0.625


2.
A plane-wave DFT calculation with meta-GGA SCAN was carried out for a PBEsol-optimized structure of YAlTl.

Energy above the most stable polymorph in this dataset = 0.000 eV per atom
Calculated volume = 25.77 A^3/atom
Calculated formation energy = -0.21 eV/atom

Unit cell a=6.763 b=6.763 c=6.763 alpha=90.00 beta=90.00 gamma=90.00
Fractional positions:
Y1 0.000 0.000 0.000
Y2 0.000 0.500 0.500
Y3 0.500 0.000 0.500
Y4 0.500 0.500 0.000
Al1 0.000 0.000 0.500
Al2 0.000 0.500 0.000
Al3 0.500 0.000 0.000
Al4 0.500 0.500 0.500
Tl1 0.250 0.250 0.250
Tl2 0.250 0.750 0.750
Tl3 0.750 0.250 0.750
Tl4 0.750 0.750 0.250


Which formula does entry 2 have? YAlTl